Cu2AsCl: optimized geometry, PBE.

Properties
Space group ... Pmmm (47)
Calculated density ... 5.5 g/cm3
Formation energy from raw total energies ... 0.191 eV per atom
Size of the total moment ... 0.00 μB per cell
E above lowest polymorph ... 273 meV/atom

a b c (Å): 3.0160 3.8864 6.1399
angles (deg): 90.00 90.00 90.00
Sites, in units of the cell vectors:
Cu 0.0000 0.0000 0.0000
Cu 0.0000 0.5000 0.5000
As 0.5000 0.0000 0.5000
Cl 0.5000 0.5000 0.0000